## BaTbWO6 (PBE with a Hubbard U)

Data for a geometry-optimized BaTbWO6 structure.

Values from the calculation:
ρ = 6.0 g/cm3
Symmetry = No. 149
Uncorrected energy = -7.339 eV/atom

Cell and atoms, written as POSCAR:
```
BaTbWO6
1.0
5.727 0.000 0.000
2.864 4.959 0.000
0.000 0.000 5.578
Ba Tb W O
1 1 1 6
direct
0.000 0.000 0.000
0.667 0.667 0.500
0.333 0.333 0.500
0.040 0.360 0.300
0.360 0.040 0.700
0.600 0.360 0.700
0.040 0.600 0.700
0.360 0.600 0.300
0.600 0.040 0.300
```